[1]
Material: Lu2ScPb
Method: DFT, PBE-GGA
State: relaxed

a = 7.445 Å, b = 7.445 Å, c = 7.445 Å
α = 90.00°, β = 90.00°, γ = 90.00°
Fractional positions:
Lu1 0.000 0.000 0.000
Lu2 0.000 0.500 0.500
Lu3 0.250 0.250 0.250
Lu4 0.250 0.750 0.750
Lu5 0.500 0.000 0.500
Lu6 0.500 0.500 0.000
Lu7 0.750 0.250 0.750
Lu8 0.750 0.750 0.250
Sc1 0.250 0.250 0.750
Sc2 0.250 0.750 0.250
Sc3 0.750 0.250 0.250
Sc4 0.750 0.750 0.750
Pb1 0.000 0.000 0.500
Pb2 0.000 0.500 0.000
Pb3 0.500 0.000 0.000
Pb4 0.500 0.500 0.500

Calculated values
symmetry	F-43m
magnetic moment	0.242	μB per atom
DFT total energy	-4.82	eV/atom

[2]
Material: Sr2NdS3
Method: DFT, PBE-GGA
State: relaxed

a = 4.164 Å, b = 4.164 Å, c = 10.389 Å
α = 90.00°, β = 90.00°, γ = 120.00°
Fractional positions:
Sr1 0.333 0.667 0.170
Sr2 0.667 0.333 0.830
Nd1 0.000 0.000 0.500
S1 0.000 0.000 0.000
S2 0.333 0.667 0.658
S3 0.667 0.333 0.342

Calculated values
symmetry	P-3m1
magnetic moment	0.001	μB per atom
DFT total energy	-5.50	eV/atom

[3]
Material: KTcPd
Method: DFT, PBE-GGA
State: relaxed

a = 6.758 Å, b = 6.758 Å, c = 6.758 Å
α = 90.00°, β = 90.00°, γ = 90.00°
Fractional positions:
K1 0.000 0.000 0.000
K2 0.000 0.500 0.500
K3 0.500 0.000 0.500
K4 0.500 0.500 0.000
Tc1 0.000 0.000 0.500
Tc2 0.000 0.500 0.000
Tc3 0.500 0.000 0.000
Tc4 0.500 0.500 0.500
Pd1 0.250 0.250 0.250
Pd2 0.250 0.750 0.750
Pd3 0.750 0.250 0.750
Pd4 0.750 0.750 0.250

Calculated values
symmetry	F-43m
E above lowest polymorph	0.000	eV/f.u.
magnetic moment	1.315	μB per atom
DFT total energy	-4.19	eV/atom

[4]
Material: ZnCuSiOs
Method: DFT, PBE-GGA
State: relaxed

a = 5.932 Å, b = 5.932 Å, c = 5.932 Å
α = 90.00°, β = 90.00°, γ = 90.00°
Fractional positions:
Zn1 0.000 0.000 0.000
Zn2 0.000 0.500 0.500
Zn3 0.500 0.000 0.500
Zn4 0.500 0.500 0.000
Cu1 0.250 0.250 0.750
Cu2 0.250 0.750 0.250
Cu3 0.750 0.250 0.250
Cu4 0.750 0.750 0.750
Si1 0.000 0.000 0.500
Si2 0.000 0.500 0.000
Si3 0.500 0.000 0.000
Si4 0.500 0.500 0.500
Os1 0.250 0.250 0.250
Os2 0.250 0.750 0.750
Os3 0.750 0.250 0.750
Os4 0.750 0.750 0.250

Calculated values
symmetry	F-43m
E above lowest polymorph	0.000	eV/f.u.
magnetic moment	0.001	μB per atom
DFT total energy	-5.35	eV/atom

[5]
Material: HfSbAsW
Method: DFT, PBE-GGA
State: relaxed

a = 4.005 Å, b = 4.005 Å, c = 11.735 Å
α = 90.00°, β = 90.00°, γ = 120.00°
Fractional positions:
Hf1 0.000 0.000 0.158
Hf2 0.000 0.000 0.842
Sb1 0.000 0.000 0.500
Sb2 0.667 0.333 0.000
As1 0.333 0.667 0.273
As2 0.333 0.667 0.727
W1 0.667 0.333 0.361
W2 0.667 0.333 0.639

Calculated values
symmetry	P-6m2
magnetic moment	0.194	μB per atom
DFT total energy	-8.01	eV/atom

[6]
Material: Tb2HoNiPt2Pb3
Method: DFT, PBE-GGA
State: relaxed

a = 3.798 Å, b = 7.816 Å, c = 7.816 Å
α = 119.86°, β = 90.00°, γ = 90.00°
Fractional positions:
Tb1 0.000 0.202 0.798
Tb2 0.000 0.798 0.202
Ho1 0.000 0.395 0.395
Ni1 0.000 0.798 0.798
Pt1 0.500 0.133 0.465
Pt2 0.500 0.465 0.133
Pb1 0.500 0.053 0.053
Pb2 0.500 0.544 0.798
Pb3 0.500 0.798 0.544

Calculated values
symmetry	Amm2
magnetic moment	0.000	μB per atom
DFT total energy	-5.49	eV/atom

[7]
Material: FeCuSiSb
Method: DFT, PBE-GGA
State: relaxed

a = 6.232 Å, b = 6.232 Å, c = 6.232 Å
α = 90.00°, β = 90.00°, γ = 90.00°
Fractional positions:
Fe1 0.000 0.000 0.000
Fe2 0.000 0.500 0.500
Fe3 0.500 0.000 0.500
Fe4 0.500 0.500 0.000
Cu1 0.000 0.000 0.500
Cu2 0.000 0.500 0.000
Cu3 0.500 0.000 0.000
Cu4 0.500 0.500 0.500
Si1 0.250 0.250 0.750
Si2 0.250 0.750 0.250
Si3 0.750 0.250 0.250
Si4 0.750 0.750 0.750
Sb1 0.250 0.250 0.250
Sb2 0.250 0.750 0.750
Sb3 0.750 0.250 0.750
Sb4 0.750 0.750 0.250

Calculated values
symmetry	F-43m
E above lowest polymorph	0.000	eV/f.u.
magnetic moment	0.363	μB per atom
DFT total energy	-5.01	eV/atom

[8]
Material: ZrTcPb2
Method: DFT, PBE-GGA
State: relaxed

a = 7.083 Å, b = 7.083 Å, c = 7.083 Å
α = 90.00°, β = 90.00°, γ = 90.00°
Fractional positions:
Zr1 0.000 0.000 0.000
Zr2 0.000 0.500 0.500
Zr3 0.500 0.000 0.500
Zr4 0.500 0.500 0.000
Tc1 0.250 0.250 0.750
Tc2 0.250 0.750 0.250
Tc3 0.750 0.250 0.250
Tc4 0.750 0.750 0.750
Pb1 0.000 0.000 0.500
Pb2 0.000 0.500 0.000
Pb3 0.250 0.250 0.250
Pb4 0.250 0.750 0.750
Pb5 0.500 0.000 0.000
Pb6 0.500 0.500 0.500
Pb7 0.750 0.250 0.750
Pb8 0.750 0.750 0.250

Calculated values
symmetry	F-43m
magnetic moment	0.000	μB per atom
DFT total energy	-6.17	eV/atom

[9]
Material: BaPAuO
Method: DFT, PBE-GGA
State: relaxed

a = 3.665 Å, b = 8.179 Å, c = 5.844 Å
α = 90.00°, β = 90.00°, γ = 90.00°
Fractional positions:
Ba1 0.000 0.138 0.000
Ba2 0.000 0.862 0.500
P1 0.000 0.462 0.580
P2 0.000 0.538 0.080
Au1 0.500 0.289 0.493
Au2 0.500 0.711 0.993
O1 0.500 0.061 0.301
O2 0.500 0.939 0.801

Calculated values
symmetry	Pmc2_1
E above lowest polymorph	0.000	eV/f.u.
DFT total energy	-4.87	eV/atom

[10]
Material: NaPaSb
Method: DFT, PBE-GGA
State: relaxed

a = 7.212 Å, b = 7.212 Å, c = 7.212 Å
α = 90.00°, β = 90.00°, γ = 90.00°
Fractional positions:
Na1 0.000 0.000 0.000
Na2 0.000 0.500 0.500
Na3 0.500 0.000 0.500
Na4 0.500 0.500 0.000
Pa1 0.000 0.000 0.500
Pa2 0.000 0.500 0.000
Pa3 0.500 0.000 0.000
Pa4 0.500 0.500 0.500
Sb1 0.250 0.250 0.250
Sb2 0.250 0.750 0.750
Sb3 0.750 0.250 0.750
Sb4 0.750 0.750 0.250

Calculated values
symmetry	F-43m
E above lowest polymorph	0.000	eV/f.u.
magnetic moment	0.685	μB per atom
DFT total energy	-4.72	eV/atom

[11]
Material: Tl2Cd
Method: DFT, PBE-GGA
State: relaxed

a = 4.561 Å, b = 4.561 Å, c = 17.263 Å
α = 90.00°, β = 90.00°, γ = 90.00°
Fractional positions:
Tl1 0.000 0.000 0.178
Tl2 0.000 0.000 0.822
Tl3 0.000 0.500 0.000
Tl4 0.000 0.500 0.500
Tl5 0.500 0.000 0.000
Tl6 0.500 0.000 0.500
Tl7 0.500 0.500 0.322
Tl8 0.500 0.500 0.678
Cd1 0.000 0.000 0.358
Cd2 0.000 0.000 0.642
Cd3 0.500 0.500 0.142
Cd4 0.500 0.500 0.858

Calculated values
symmetry	I4/mmm
E above lowest polymorph	0.093	eV/f.u.
DFT total energy	-1.81	eV/atom

[12]
Material: HfCdTc
Method: DFT, PBE-GGA
State: relaxed

a = 6.409 Å, b = 6.409 Å, c = 6.409 Å
α = 90.00°, β = 90.00°, γ = 90.00°
Fractional positions:
Hf1 0.000 0.000 0.000
Hf2 0.000 0.500 0.500
Hf3 0.500 0.000 0.500
Hf4 0.500 0.500 0.000
Cd1 0.250 0.250 0.750
Cd2 0.250 0.750 0.250
Cd3 0.750 0.250 0.250
Cd4 0.750 0.750 0.750
Tc1 0.250 0.250 0.250
Tc2 0.250 0.750 0.750
Tc3 0.750 0.250 0.750
Tc4 0.750 0.750 0.250

Calculated values
symmetry	F-43m
energy relative to the elements	238	kJ/mol of formula units
E above lowest polymorph	0.912	eV/f.u.
magnetic moment	0.002	μB per atom
DFT total energy	-6.25	eV/atom

no.,ρ (Mg/m³)
1,9.69
2,4.43
3,5.24
4,11.05
5,11.39
6,12.82
7,7.39
8,11.28
9,7.23
10,6.65
11,9.64
12,9.81